Entry from the Alexandria database: a relaxed MnAl2Si crystal (PBE).

Geometry as extended XYZ:
```
4
Lattice="4.628 0.000 0.000 0.000 2.796 0.000 -1.754 0.000 4.313" Properties=species:S:1:pos:R:3 pbc="T T T"
Mn 0.000 0.000 0.000
Al 1.437 0.000 2.156
Al 2.314 1.398 0.000
Si -0.877 1.398 2.156
```

Space group = P2/m
Fermi-level density of states = 2.04 states/eV/cell
M_tot = 2.466 μB per cell
Electronic total energy = -5.546 eV per atom
Formation energy from raw total energies = -0.03 eV/atom